Density functional theory data (SCAN) for a crystal of BaNa2TlO relaxed with PBEsol.

Raw formation energy (eV per atom): -0.226
Crystal system: tetragonal
Raw total energy (eV/cell): -127.70

Cell: 4.553 6.880 6.880 Å, 90.00 90.00 90.00°
Site moments in Bohr magnetons follow the coordinates.
Positions (direct):
Na 0.000 0.000 0.500  0.00
Na 0.000 0.500 0.000  0.00
Tl 0.500 0.500 0.500  0.00
Ba 0.000 0.000 0.000  0.02
O 0.500 0.000 0.000  0.27